! PmSiI2, optimized geometry, DFT GGA-PBE; values from VASP
&SYSTEM
  ibrav = 0, nat = 4, ntyp = 3
/
ATOMIC_SPECIES
I 126.90 I.upf
Si 28.09 Si.upf
Pm 145.00 Pm.upf
CELL_PARAMETERS angstrom
3.8875 -0.0001 0.0008
-1.9438 3.2833 0.7366
-0.0026 -0.0993 10.6444
ATOMIC_POSITIONS crystal
I 0.9891 0.7347 0.3373
Si 0.0842 0.9251 0.0522
Pm 0.5841 0.9246 0.5523
I 0.1791 0.1146 0.7673
! - Crystal system: trigonal
! - Formation energy without anion corrections: -0.22 eV/atom
! - Space group: R-3m, No. 166

! LiAl2ZnN, optimized geometry, DFT GGA-PBE; values from VASP
&SYSTEM
  ibrav = 0, nat = 5, ntyp = 4
/
ATOMIC_SPECIES
Al 26.98 Al.upf
Li 6.94 Li.upf
Zn 65.41 Zn.upf
N 14.01 N.upf
CELL_PARAMETERS angstrom
-2.3612 -0.1077 -3.1906
-1.4875 -3.4743 1.2181
-2.8774 1.9554 2.0634
ATOMIC_POSITIONS crystal
Al 0.5000 0.0000 0.0000
Li 0.0000 0.0000 0.5000
Zn 0.5000 0.5000 0.5000
N 0.0000 0.0000 0.0000
Al 0.0000 0.5000 0.0000
! - Crystal system: tetragonal
! - Formation energy without anion corrections: -0.23 eV/atom
! - Space group: P4/mmm, No. 123

! Pr6SmHo6, optimized geometry, DFT GGA-PBE; values from VASP
&SYSTEM
  ibrav = 0, nat = 13, ntyp = 3
/
ATOMIC_SPECIES
Pr 140.91 Pr.upf
Sm 150.36 Sm.upf
Ho 164.93 Ho.upf
CELL_PARAMETERS angstrom
-2.3521 -4.6289 -4.3239
1.7155 -1.8070 6.2807
-10.7263 2.1388 3.5451
ATOMIC_POSITIONS crystal
Pr 0.3333 0.6667 0.0000
Pr 0.6667 0.3333 0.0000
Pr 0.6667 0.3333 0.5000
Sm 0.0000 0.0000 0.0000
Ho 0.5000 0.5000 0.7525
Pr 0.0000 0.0000 0.6543
Ho 0.5000 0.5000 0.2475
Pr 0.0000 0.0000 0.3457
Ho 0.0000 0.5000 0.7525
Pr 0.3333 0.6667 0.5000
Ho 0.0000 0.5000 0.2475
Ho 0.5000 0.0000 0.2475
Ho 0.5000 0.0000 0.7525
! - Formation energy from the elements: 0.25 eV/atom
! - Crystal system: hexagonal
! - Space group: P6/mmm, No. 191

! BaCa2Y6O12, optimized geometry, DFT GGA-PBE; values from VASP
&SYSTEM
  ibrav = 0, nat = 21, ntyp = 4
/
ATOMIC_SPECIES
O 16.00 O.upf
Y 88.91 Y.upf
Ca 40.08 Ca.upf
Ba 137.33 Ba.upf
CELL_PARAMETERS angstrom
5.1554 -8.9295 0.0000
5.1554 8.9295 0.0000
0.0000 0.0000 3.4089
ATOMIC_POSITIONS crystal
O 0.9016 0.7220 0.0000
O 0.4735 0.8685 0.0000
Y 0.6532 0.6526 0.0000
O 0.8633 0.3929 0.5000
Ca 0.3333 0.6667 0.5000
O 0.5295 0.1367 0.5000
Y 0.6515 0.9989 0.5000
O 0.6919 0.8044 0.5000
O 0.1315 0.6051 0.0000
O 0.3949 0.5265 0.0000
Ba 0.0000 0.0000 0.5000
Ca 0.6667 0.3333 0.0000
O 0.6071 0.4705 0.5000
O 0.1125 0.3081 0.5000
Y 0.3474 0.0006 0.0000
O 0.8203 0.0984 0.0000
O 0.1956 0.8875 0.5000
Y 0.3474 0.3485 0.5000
Y 0.9994 0.3468 0.0000
O 0.2780 0.1797 0.0000
Y 0.0011 0.6526 0.5000
! - Crystal system: hexagonal
! - Formation energy without anion corrections: -3.30 eV/atom
! - Space group: P-6, No. 174

! ErVSn, optimized geometry, DFT GGA-PBE; values from VASP
&SYSTEM
  ibrav = 0, nat = 6, ntyp = 3
/
ATOMIC_SPECIES
Er 167.26 Er.upf
V 50.94 V.upf
Sn 118.71 Sn.upf
CELL_PARAMETERS angstrom
3.3359 -0.0059 -0.3323
-0.0221 3.3358 -0.3323
-2.1882 -2.1988 12.0032
ATOMIC_POSITIONS crystal
Er 0.6339 0.6339 0.8842
Er 0.3661 0.3661 0.1158
V 0.6995 0.6995 0.4496
Sn 0.0562 0.0562 0.3066
Sn 0.9438 0.9438 0.6934
V 0.3005 0.3005 0.5504
! - Formation energy from the elements: -0.22 eV/atom
! - Crystal system: orthorhombic
! - Space group: Cmme, No. 67

! KAg2PbF6, optimized geometry, DFT GGA-PBE; values from VASP
&SYSTEM
  ibrav = 0, nat = 10, ntyp = 4
/
ATOMIC_SPECIES
Ag 107.87 Ag.upf
K 39.10 K.upf
F 19.00 F.upf
Pb 207.20 Pb.upf
CELL_PARAMETERS angstrom
6.3229 0.0499 -0.0359
3.2031 5.4620 -0.0209
3.1528 1.8331 5.1698
ATOMIC_POSITIONS crystal
Ag 0.0134 0.0158 0.9557
K 0.7831 0.7891 0.6353
F 0.8806 0.6500 0.2187
Pb 0.3009 0.3034 0.0908
F 0.7172 0.1787 0.7496
F 0.6575 0.2580 0.2105
F 0.2605 0.8749 0.2061
Ag 0.5211 0.5208 0.4377
F 0.1771 0.3574 0.7573
F 0.3501 0.7135 0.7535
! - Crystal system: triclinic
! - Formation energy without anion corrections: -1.83 eV/atom
! - Space group: P1, No. 1

Number 1: N(E_F) 2.20 states/eV/f.u., energy -14.14 eV/cell. Number 2: N(E_F) 1.41 states/eV/f.u., energy -20.13 eV/cell. Number 3: N(E_F) 27.27 states/eV/f.u., energy -57.58 eV/cell. Number 4: N(E_F) 0.00 states/eV/f.u., energy -173.45 eV/cell. Number 5: N(E_F) 2.17 states/eV/f.u., energy -36.69 eV/cell. Number 6: N(E_F) 4.89 states/eV/f.u., energy -40.02 eV/cell.